! ZnWO3 PBE+U optimized geometry; values from VASP
&SYSTEM
  ibrav = 0, nat = 5, ntyp = 3
/
ATOMIC_SPECIES
Zn 65.41 Zn.upf
W 183.84 W.upf
O 16.00 O.upf
CELL_PARAMETERS angstrom
4.0724 0.0000 0.0000
0.0000 2.8266 2.8340
0.0000 -2.8266 2.8340
ATOMIC_POSITIONS crystal
Zn 0.0000 0.0000 0.0000
W 0.5000 0.5979 0.5979
O 0.0000 0.6318 0.6318
O 0.5000 0.1081 0.6332
O 0.5000 0.6332 0.1081
! symmetry: Amm2 (38)
! E_tot: -5.973 eV/atom
! DOS at the Fermi energy: 2.0 states/eV/f.u.